Density functional theory data (GGA-PBE) for crystalline Ni5IrRh4 at its relaxed geometry.

The value obtained for the magnetization is 0.485 μB/atom. Its formation energy is 0.04 eV/atom.

The space group is C2/m (No. 12) and the conventional cell measures 13.4337, 3.7334 and 5.2009 Å, with angles of 90.00, 101.74 and 90.00 degrees. The asymmetric unit holds Ni at (0.0000, 0.0000, 0.0000), Ni at (0.0986, 0.5000, 0.3009), Ni at (0.2005, 0.0000, 0.1031), Ir at (0.0000, 0.0000, 0.5000), Rh at (0.1003, 0.5000, 0.8134) and Rh at (0.2006, 0.0000, 0.6024).